# 1
Crystalline LiFePCl2 at its relaxed geometry, computed with PBE-GGA.

Formation energy from raw total energies in eV per atom: -0.293
Crystal system: tetragonal
ΔE to the lowest computed polymorph in eV/f.u.: 0.000

Lattice parameters (Å, degrees): 5.0269 5.0269 4.2685 90.00 90.00 90.00
Last column: nearest neighbours and their distance in Å.
Space group P4/mmm (No. 123)
One atom of each set of equivalent atoms:
Li1 0.0000 0.0000 0.0000  8 Cl 3.30, 4 P 3.55
Fe1 0.5000 0.5000 0.5000  2 P 2.13
P1 0.5000 0.5000 0.0000  2 Fe 2.13
Cl1 0.0000 0.5000 0.5000  2 Fe 2.51

# 2
Crystalline CrCoTc2 at its relaxed geometry, computed with PBE-GGA.

Crystal system: monoclinic
ΔE to the lowest computed polymorph in eV/f.u.: 0.212

Lattice parameters (Å, degrees): 8.6902 2.6436 4.5555 90.00 99.90 90.00
Last column: nearest neighbours and their distance in Å.
Space group Cm (No. 8)
One atom of each set of equivalent atoms:
Cr1 0.0000 0.0000 0.0000  3 Co 2.53-2.67, 7 Tc 2.55-2.73, 2 Cr 2.64
Co1 0.2379 0.5000 0.2319  3 Cr 2.53-2.67, 7 Tc 2.58-2.68, 2 Co 2.64
Tc1 0.2444 0.0000 0.7467  4 Co 2.58-2.68, 3 Cr 2.59-2.67, 5 Tc 2.62-2.73
Tc2 0.4849 0.0000 0.4717  4 Cr 2.55-2.73, 3 Co 2.60-2.62, 5 Tc 2.62-2.73

# 3
Crystalline BeAl2Au5 at its relaxed geometry, computed with PBE-GGA.

Crystal system: orthorhombic
Uncorrected energy in eV/atom: -3.67

Lattice parameters (Å, degrees): 5.6425 10.5924 4.3233 90.00 90.00 90.00
Last column: nearest neighbours and their distance in Å.
Space group Pbam (No. 55)
One atom of each set of equivalent atoms:
Be1 0.0000 0.0000 0.0000  6 Au 2.42-2.60
Al1 0.1489 0.3649 0.5000  8 Au 2.67-2.94
Au1 0.0000 0.5000 0.0000  4 Al 2.73, 2 Be 2.82
Au2 0.1234 0.7812 0.0000  1 Be 2.42, 2 Al 2.67
Au3 0.1660 0.1043 0.5000  2 Be 2.60, 3 Al 2.74-2.76, 1 Au 2.90

# 4
Crystalline CsSr2GaRh at its relaxed geometry, computed with PBE-GGA.

Crystal system: tetragonal
Uncorrected energy in eV/atom: -3.05

Lattice parameters (Å, degrees): 5.9667 5.9667 5.0401 90.00 90.00 90.00
Last column: nearest neighbours and their distance in Å.
Space group P4/mmm (No. 123)
One atom of each set of equivalent atoms:
Cs1 0.0000 0.0000 0.0000  8 Sr 3.91, 4 Ga 4.22
Sr1 0.0000 0.5000 0.5000  2 Rh 2.98
Ga1 0.5000 0.5000 0.0000  2 Rh 2.52
Rh1 0.5000 0.5000 0.5000  2 Ga 2.52

# 5
Crystalline ErTh2Sc3 at its relaxed geometry, computed with PBE-GGA.

Crystal system: tetragonal
ΔE to the lowest computed polymorph in eV/f.u.: 0.000

Lattice parameters (Å, degrees): 3.9057 3.9057 10.9960 90.00 90.00 90.00
Last column: nearest neighbours and their distance in Å.
Space group P4/mmm (No. 123)
One atom of each set of equivalent atoms:
Er1 0.0000 0.0000 0.0000  8 Sc 3.33, 2 Th 3.66
Th1 0.0000 0.0000 0.3333  8 Sc 3.30-3.31, 1 Er 3.66, 1 Th 3.67
Sc1 0.5000 0.5000 0.1692  4 Th 3.30, 4 Er 3.33, 1 Sc 3.64
Sc2 0.5000 0.5000 0.5000  8 Th 3.31, 2 Sc 3.64

# 6
Crystalline Ca3MgCu at its relaxed geometry, computed with PBE-GGA.

Crystal system: monoclinic
ΔE to the lowest computed polymorph in eV/f.u.: 0.000

Lattice parameters (Å, degrees): 8.8271 4.1665 9.0271 90.00 109.55 90.00
Last column: nearest neighbours and their distance in Å.
Space group P2_1/m (No. 11)
One atom of each set of equivalent atoms:
Ca1 0.0522 0.2500 0.2256  3 Cu 3.10-3.15, 2 Mg 3.47
Ca2 0.3136 0.2500 0.9186  1 Cu 3.18, 3 Mg 3.33-3.47
Ca3 0.3155 0.7500 0.5768  3 Cu 3.10, 1 Mg 3.40
Mg1 0.3636 0.7500 0.2186  8 Ca 3.33-3.50
Cu1 0.0552 0.2500 0.5751  2 Cu 2.50

# 7
Crystalline Cs8IO2 at its relaxed geometry, computed with PBE-GGA.

Formation energy from raw total energies in eV per atom: -0.831
Crystal system: monoclinic

Lattice parameters (Å, degrees): 15.8547 13.8020 8.3543 90.00 95.74 90.00
Last column: nearest neighbours and their distance in Å.
Space group C2/m (No. 12)
One atom of each set of equivalent atoms:
Cs1 0.1259 0.0000 0.2538  1 O 2.67
Cs2 0.1332 0.3430 0.7355  1 O 2.68
Cs3 0.2065 0.5000 0.3095  1 O 2.67
I1 0.0000 0.5000 0.0000  6 Cs 3.87-3.96
O1 0.2108 0.5000 0.6300  4 Cs 2.67-2.68

# 8
Crystalline LiPa2Mo3N6 at its relaxed geometry, computed with PBE-GGA.

Formation energy from raw total energies in eV per atom: -0.893
Crystal system: monoclinic

Lattice parameters (Å, degrees): 13.8818 3.2465 6.3998 90.00 103.87 90.00
Last column: nearest neighbours and their distance in Å.
Space group C2/m (No. 12)
One atom of each set of equivalent atoms:
Li1 0.0000 0.0000 0.0000  6 N 2.22-2.32
Pa1 0.1592 0.5000 0.3053  6 N 2.23-2.42
Mo1 0.0000 0.0000 0.5000  6 N 2.17-2.25
Mo2 0.1599 0.5000 0.8117  5 N 2.08-2.22
N1 0.0054 0.5000 0.7451  3 Mo 2.08-2.25, 1 Pa 2.23, 2 Li 2.32
N2 0.1613 0.0000 0.5767  3 Mo 2.17-2.22, 3 Pa 2.37-2.42
N3 0.1636 0.0000 0.0477  3 Mo 2.21-2.40, 1 Li 2.22, 2 Pa 2.33

# 9
Crystalline Ac2ZnCu2Pt5 at its relaxed geometry, computed with PBE-GGA.

Crystal system: tetragonal
Uncorrected energy in eV/atom: -5.46

Lattice parameters (Å, degrees): 9.7408 9.7408 3.9609 90.00 90.00 90.00
Last column: nearest neighbours and their distance in Å.
Space group P4/mbm (No. 127)
One atom of each set of equivalent atoms:
Ac1 0.1797 0.3203 0.0000  3 Cu 2.77-2.97
Zn1 0.0000 0.0000 0.0000  8 Pt 2.87
Cu1 0.1193 0.6193 0.0000  6 Pt 2.57-2.68, 1 Ac 2.77
Pt1 0.0000 0.5000 0.5000  4 Cu 2.57
Pt2 0.0601 0.7947 0.5000  2 Cu 2.68, 2 Zn 2.87, 3 Pt 2.93-2.95

# 10
Crystalline Th2Re3Os at its relaxed geometry, computed with PBE-GGA.

Crystal system: monoclinic
Uncorrected energy in eV/atom: -10.70

Lattice parameters (Å, degrees): 9.2063 5.3440 5.6976 90.00 122.18 90.00
Last column: nearest neighbours and their distance in Å.
Space group C2/m (No. 12)
One atom of each set of equivalent atoms:
Th1 0.1252 0.0000 0.3757  3 Os 3.13-3.14, 9 Re 3.21-3.39, 3 Th 3.29-3.31
Re1 0.0000 0.5000 0.0000  4 Re 2.66, 2 Os 2.85
Re2 0.2500 0.2500 0.0000  4 Re 2.66-2.67, 2 Os 2.87
Os1 0.0000 0.5000 0.5000  6 Re 2.85-2.87, 6 Th 3.13-3.14

# 11
Crystalline ScPbSe2Br at its relaxed geometry, computed with PBE-GGA.

Formation energy from raw total energies in eV per atom: -0.912
Crystal system: tetragonal
ΔE to the lowest computed polymorph in eV/f.u.: 0.000

Lattice parameters (Å, degrees): 5.2679 5.2679 5.1244 90.00 90.00 90.00
Last column: nearest neighbours and their distance in Å.
Space group P4/mmm (No. 123)
One atom of each set of equivalent atoms:
Sc1 0.0000 0.0000 0.0000  2 Br 2.56, 4 Se 2.63
Pb1 0.5000 0.5000 0.5000  8 Se 3.67, 4 Br 3.72
Se1 0.0000 0.5000 0.0000  2 Sc 2.63
Br1 0.0000 0.0000 0.5000  2 Sc 2.56

# 12
Crystalline Ba6Cd5I at its relaxed geometry, computed with PBE-GGA.

Formation energy from raw total energies in eV per atom: -0.450
Crystal system: orthorhombic

Lattice parameters (Å, degrees): 6.0479 8.5913 18.2501 90.00 90.00 90.00
Last column: nearest neighbours and their distance in Å.
Space group Immm (No. 71)
One atom of each set of equivalent atoms:
Ba1 0.0000 0.2445 0.0000  6 Cd 3.68-3.88, 2 I 3.74
Ba2 0.0000 0.2523 0.3315  7 Cd 3.55-3.74, 1 I 3.76
Cd1 0.0000 0.0000 0.1671  8 Ba 3.70
Cd2 0.0000 0.5000 0.1756  8 Ba 3.55-3.88
Cd3 0.0000 0.5000 0.5000  8 Ba 3.68-3.74
I1 0.0000 0.0000 0.5000  8 Ba 3.74-3.76